Entry 1:
## Mn2SiB2Ir5 (GGA-PBE)

Data for a geometry-optimized Mn2SiB2Ir5 structure.

Values from the calculation:
- total magnetic moment (Bohr magnetons per cell) = 18.11
- raw formation energy (meV per atom) = -370

a = 9.3722 Å, b = 9.3722 Å, c = 2.9013 Å
α = 90.00°, β = 90.00°, γ = 90.00°
Space group P4/mbm (No. 127)
Inequivalent atoms, fractional coordinates:
1 Mn 0.1758 0.3242 0.0000 [4 per cell]
2 Si 0.0000 0.0000 0.0000 [2 per cell]
3 B 0.1268 0.6268 0.0000 [4 per cell]
4 Ir 0.0000 0.5000 0.5000 [2 per cell]
5 Ir 0.0711 0.7912 0.5000 [8 per cell]

Entry 2:
## MnTcBIr (GGA-PBE)

Data for a geometry-optimized MnTcBIr structure.

Values from the calculation:
- total magnetic moment (Bohr magnetons per cell) = 8.48
- calculated formation energy (eV per atom) = 0.0485

a = 5.7524 Å, b = 5.7524 Å, c = 5.7524 Å
α = 90.00°, β = 90.00°, γ = 90.00°
Space group F-43m (No. 216)
Inequivalent atoms, fractional coordinates:
1 Mn 0.0000 0.0000 0.0000 [4 per cell]
2 Tc 0.2500 0.2500 0.2500 [4 per cell]
3 B 0.0000 0.0000 0.5000 [4 per cell]
4 Ir 0.2500 0.2500 0.7500 [4 per cell]